FeCuIr4 | Alexandria via LeMat-Bulk | GGA-PBE | relaxed; M_tot = 0.9196 μB per atom; ΔE_f = 0.53 eV per atom; distance to the lowest polymorph of the same formula = 476.8 meV per atom; theoretical density = 15.45 g/cm3
1.0
-3.593 1.643 3.272
-4.525 1.641 -1.773
-4.228 -2.797 0.782
Ir Cu Fe
4 1 1
Direct
0.875 0.375 0.375
0.375 0.875 0.375
0.375 0.375 0.875
0.375 0.375 0.375
0.750 0.750 0.750
0.000 0.000 0.000